A plane-wave DFT calculation with PBE-GGA was carried out for an optimized crystal structure of RbC2F.

Geometry as POSCAR:
```
RbC2F
1.0
6.810 0.000 0.000
0.000 6.810 0.000
0.000 0.000 6.810
Rb C F
4 8 4
direct
0.000 0.000 0.000
0.000 0.500 0.500
0.500 0.000 0.500
0.500 0.500 0.000
0.250 0.250 0.250
0.250 0.250 0.750
0.250 0.750 0.250
0.250 0.750 0.750
0.750 0.250 0.250
0.750 0.250 0.750
0.750 0.750 0.250
0.750 0.750 0.750
0.000 0.000 0.500
0.000 0.500 0.000
0.500 0.000 0.000
0.500 0.500 0.500
```

Summary:
Formation energy without anion corrections = 2.61 eV per atom
Crystal system = cubic
Space-group type = Fm-3m

A plane-wave DFT calculation with PBE-GGA was carried out for an optimized crystal structure of YBeN2.

Geometry as POSCAR:
```
YBeN2
1.0
3.597 0.000 0.000
-1.798 3.115 0.000
0.000 0.000 16.173
Y Be N
3 3 6
direct
0.000 0.000 0.000
0.333 0.667 0.667
0.667 0.333 0.333
0.000 0.000 0.500
0.333 0.667 0.167
0.667 0.333 0.833
0.000 0.000 0.406
0.000 0.000 0.594
0.333 0.667 0.072
0.333 0.667 0.261
0.667 0.333 0.739
0.667 0.333 0.928
```

Summary:
Formation energy without anion corrections = -0.71 eV per atom
Crystal system = trigonal
Space-group type = R-3m

A plane-wave DFT calculation with PBE-GGA was carried out for an optimized crystal structure of In4NiW.

Geometry as POSCAR:
```
In4NiW
1.0
0.000 3.987 3.987
3.987 0.000 3.987
3.987 3.987 0.000
In Ni W
4 1 1
direct
0.125 0.125 0.125
0.125 0.125 0.625
0.125 0.625 0.125
0.625 0.125 0.125
0.750 0.750 0.750
0.500 0.500 0.500
```

Summary:
E_tot = -3.876 eV/atom
Crystal system = cubic
Space-group type = F-43m

A plane-wave DFT calculation with PBE-GGA was carried out for an optimized crystal structure of NaLaY.

Geometry as POSCAR:
```
NaLaY
1.0
3.587 0.000 0.000
0.000 3.587 0.000
0.000 0.000 16.624
Na La Y
2 2 2
direct
0.000 0.000 0.000
0.500 0.500 0.500
0.000 0.000 0.679
0.500 0.500 0.179
0.000 0.000 0.331
0.500 0.500 0.831
```

Summary:
E_tot = -4.090 eV/atom
Crystal system = tetragonal
Space-group type = I4mm

A plane-wave DFT calculation with PBE-GGA was carried out for an optimized crystal structure of CePrLu2.

Geometry as POSCAR:
```
CePrLu2
1.0
7.973 0.000 0.000
0.000 7.973 0.000
0.000 0.000 7.973
Ce Pr Lu
4 4 8
direct
0.000 0.000 0.000
0.000 0.500 0.500
0.500 0.000 0.500
0.500 0.500 0.000
0.000 0.000 0.500
0.000 0.500 0.000
0.500 0.000 0.000
0.500 0.500 0.500
0.250 0.250 0.250
0.250 0.250 0.750
0.250 0.750 0.250
0.250 0.750 0.750
0.750 0.250 0.250
0.750 0.250 0.750
0.750 0.750 0.250
0.750 0.750 0.750
```

Summary:
E_tot = -4.812 eV/atom
Crystal system = cubic
Space-group type = Fm-3m

A plane-wave DFT calculation with PBE-GGA was carried out for an optimized crystal structure of TaSnP2O8.

Geometry as POSCAR:
```
TaSnP2O8
1.0
4.188 -2.647 0.000
4.188 2.647 0.000
-0.258 0.000 7.667
Ta Sn P O
1 1 2 8
direct
0.000 0.000 0.000
0.000 0.000 0.500
0.355 0.355 0.227
0.645 0.645 0.773
0.216 0.702 0.202
0.227 0.227 0.073
0.286 0.286 0.407
0.298 0.784 0.798
0.702 0.216 0.202
0.714 0.714 0.593
0.773 0.773 0.927
0.784 0.298 0.798
```

Summary:
Formation energy without anion corrections = -2.13 eV per atom
Crystal system = monoclinic
Space-group type = C2/m

A plane-wave DFT calculation with PBE-GGA was carried out for an optimized crystal structure of KNaIn2Ni.

Geometry as POSCAR:
```
KNaIn2Ni
1.0
5.026 0.000 0.000
0.000 5.026 0.000
0.000 0.000 5.908
K Na In Ni
1 1 2 1
direct
0.000 0.000 0.000
0.500 0.500 0.000
0.000 0.500 0.500
0.500 0.000 0.500
0.000 0.000 0.500
```

Summary:
E_tot = -2.694 eV/atom
Crystal system = tetragonal
Space-group type = P4/mmm

A plane-wave DFT calculation with PBE-GGA was carried out for an optimized crystal structure of CdSn3O.

Geometry as POSCAR:
```
CdSn3O
1.0
4.879 0.000 0.000
0.000 4.879 0.000
0.000 0.000 4.879
Cd Sn O
1 3 1
direct
0.000 0.000 0.000
0.000 0.500 0.500
0.500 0.000 0.500
0.500 0.500 0.000
0.500 0.500 0.500
```

Summary:
Formation energy without anion corrections = -0.22 eV per atom
Crystal system = cubic
Space-group type = Pm-3m